CoBiAs2Br | Alexandria via LeMat-Bulk | SCAN | PBEsol geometry; uncorrected energy = -154.0 eV/cell; energy relative to the elements, uncorrected = 351 meV per atom; total magnetization = 1.94 μB per cell; density = 7.981 g/cm³
1.0
4.565 0.000 0.000
0.000 4.565 0.000
0.000 0.000 4.968
Co Bi As Br
1 1 2 1
direct
0.000 0.000 0.000
0.500 0.500 0.500
0.000 0.500 0.000
0.500 0.000 0.000
0.000 0.000 0.500